# P2IrPd

P2IrPd after structural relaxation (PBE-GGA, Alexandria via LeMat-Bulk).

Values from the calculation:
- total magnetic moment (μB/f.u.) = 0.00
- energy of formation (eV per atom) = -0.27

a = 5.4130 Å, b = 5.4130 Å, c = 10.3488 Å
α = 90.00°, β = 90.00°, γ = 90.00°
Last column: nearest neighbours and their distance in Å.
Space group I-42d (No. 122)
Unique sites:
P 0.2350 0.2500 0.1250 [8 per cell]  2 Ir 2.26, 2 Pd 2.36
Ir 0.0000 0.0000 0.0000 [4 per cell]  4 P 2.26
Pd 0.0000 0.0000 0.5000 [4 per cell]  4 P 2.36